The following is a PBE calculation of a relaxed PmHgGe2Pt5 crystal, from the Alexandria database.

## Properties
* DOS(E_F): 3.38 states/eV per cell
* V: 167.7 Å³/cell
* energy relative to the elements: -0.5097 eV/atom

The structure in CIF format:
```
data_PmHgGe2Pt5
_chemical_formula_sum 'Pm1 Hg1 Ge2 Pt5'
_cell_length_a 4.291
_cell_length_b 4.291
_cell_length_c 9.110
_cell_angle_alpha 90.00
_cell_angle_beta 90.00
_cell_angle_gamma 90.00
_symmetry_space_group_name_H-M 'P 4/m m m'
_symmetry_Int_Tables_number 123
_symmetry_space_group_name_Hall '-P 4 2'
loop_
_atom_site_label
_atom_site_fract_x
_atom_site_fract_y
_atom_site_fract_z
Pm1 0.000 0.000 0.000
Hg1 0.000 0.000 0.500
Ge1 0.500 0.500 0.366
Pt1 0.000 0.500 0.229
Pt2 0.500 0.500 0.000
```

---

The following is a PBE calculation of a relaxed PmPuHgGe crystal, from the Alexandria database.

## Properties
* DOS(E_F): 40.46 states/eV per cell
* V: 409.8 Å³/cell
* energy relative to the elements: -0.3902 eV/atom

The structure in CIF format:
```
data_PmPuHgGe
_chemical_formula_sum 'Pm4 Pu4 Hg4 Ge4'
_cell_length_a 7.428
_cell_length_b 7.428
_cell_length_c 7.428
_cell_angle_alpha 90.00
_cell_angle_beta 90.00
_cell_angle_gamma 90.00
_symmetry_space_group_name_H-M 'F -4 3 m'
_symmetry_Int_Tables_number 216
_symmetry_space_group_name_Hall 'F -4 2 3'
loop_
_atom_site_label
_atom_site_fract_x
_atom_site_fract_y
_atom_site_fract_z
Pm1 0.000 0.000 0.000
Pu1 0.000 0.000 0.500
Hg1 0.250 0.250 0.750
Ge1 0.250 0.250 0.250
```

---

The following is a PBE calculation of a relaxed Pm2HgGe3Rh4 crystal, from the Alexandria database.

## Properties
* DOS(E_F): 7.31 states/eV per cell
* V: 191.5 Å³/cell
* energy relative to the elements: -0.7054 eV/atom

The structure in CIF format:
```
data_Pm2HgGe3Rh4
_chemical_formula_sum 'Pm2 Hg1 Ge3 Rh4'
_cell_length_a 4.230
_cell_length_b 4.230
_cell_length_c 10.707
_cell_angle_alpha 90.00
_cell_angle_beta 90.00
_cell_angle_gamma 90.00
_symmetry_space_group_name_H-M 'P -4 m 2'
_symmetry_Int_Tables_number 115
_symmetry_space_group_name_Hall 'P -4 -2'
loop_
_atom_site_label
_atom_site_fract_x
_atom_site_fract_y
_atom_site_fract_z
Pm1 0.000 0.500 0.246
Hg1 0.000 0.000 0.500
Ge1 0.000 0.500 0.878
Ge2 0.500 0.500 0.500
Rh1 0.000 0.000 0.000
Rh2 0.000 0.500 0.654
Rh3 0.500 0.500 0.000
```

---

The following is a PBE calculation of a relaxed Pm2HgGe2Rh5 crystal, from the Alexandria database.

## Properties
* DOS(E_F): 3.13 states/eV per cell
* V: 360.5 Å³/cell
* energy relative to the elements: -0.6781 eV/atom

The structure in CIF format:
```
data_Pm2HgGe2Rh5
_chemical_formula_sum 'Pm4 Hg2 Ge4 Rh10'
_cell_length_a 9.941
_cell_length_b 9.941
_cell_length_c 3.648
_cell_angle_alpha 90.00
_cell_angle_beta 90.00
_cell_angle_gamma 90.00
_symmetry_space_group_name_H-M 'P 4/m b m'
_symmetry_Int_Tables_number 127
_symmetry_space_group_name_Hall '-P 4 2ab'
loop_
_atom_site_label
_atom_site_fract_x
_atom_site_fract_y
_atom_site_fract_z
Pm1 0.175 0.325 0.000
Hg1 0.000 0.000 0.000
Ge1 0.123 0.623 0.000
Rh1 0.000 0.500 0.500
Rh2 0.068 0.786 0.500
```

---

The following is a PBE calculation of a relaxed PmScHgGe crystal, from the Alexandria database.

## Properties
* DOS(E_F): 16.04 states/eV per cell
* V: 373.5 Å³/cell
* energy relative to the elements: -0.5121 eV/atom

The structure in CIF format:
```
data_PmScHgGe
_chemical_formula_sum 'Pm4 Sc4 Hg4 Ge4'
_cell_length_a 7.201
_cell_length_b 7.201
_cell_length_c 7.201
_cell_angle_alpha 90.00
_cell_angle_beta 90.00
_cell_angle_gamma 90.00
_symmetry_space_group_name_H-M 'F -4 3 m'
_symmetry_Int_Tables_number 216
_symmetry_space_group_name_Hall 'F -4 2 3'
loop_
_atom_site_label
_atom_site_fract_x
_atom_site_fract_y
_atom_site_fract_z
Pm1 0.000 0.000 0.000
Sc1 0.000 0.000 0.500
Hg1 0.250 0.250 0.250
Ge1 0.250 0.250 0.750
```

---

The following is a PBE calculation of a relaxed Pm6HgGe2Se3 crystal, from the Alexandria database.

## Properties
* DOS(E_F): 12.14 states/eV per cell
* V: 660.0 Å³/cell
* energy relative to the elements, uncorrected: -1.3013 eV/atom

The structure in CIF format:
```
data_Pm6HgGe2Se3
_chemical_formula_sum 'Pm12 Hg2 Ge4 Se6'
_cell_length_a 18.736
_cell_length_b 4.250
_cell_length_c 8.615
_cell_angle_alpha 90.00
_cell_angle_beta 105.84
_cell_angle_gamma 90.00
_symmetry_space_group_name_H-M 'C 1 2/m 1'
_symmetry_Int_Tables_number 12
_symmetry_space_group_name_Hall '-C 2y'
loop_
_atom_site_label
_atom_site_fract_x
_atom_site_fract_y
_atom_site_fract_z
Pm1 0.000 0.000 0.234
Pm2 0.170 0.500 0.074
Pm3 0.172 0.500 0.590
Hg1 0.000 0.500 0.500
Ge1 0.164 0.000 0.827
Se1 0.000 0.500 0.000
Se2 0.167 0.000 0.331
```

---

Question: The highest V belongs to which entry?
Answer: Pm6HgGe2Se3